Record 1
Density functional theory data (PBE) for a relaxed HfTaAl crystal.

Magnetic moment: 0.00 μB/f.u.
ΔH_f (0 K): -20 kJ/mol of atoms
Raw total energy: -8.7280 eV per atom
Polymorph energy (0 for the lowest one): 0.0 meV per atom

Cell lengths 3.9090, 3.9090, 7.5483 Å; angles 90.00, 90.00, 90.00 degrees
Last column: nearest neighbours and their distance in Å.
Space group P4/nmm (No. 129, origin choice 2)
Inequivalent atoms, fractional coordinates:
Hf 0.2500 0.2500 0.1458 [2 per cell]  5 Al 2.84-2.86
Ta 0.2500 0.7500 0.5000 [2 per cell]  4 Ta 2.76, 4 Al 2.81
Al 0.2500 0.2500 0.7669 [2 per cell]  4 Ta 2.81, 5 Hf 2.84-2.86



Record 2
Density functional theory data (PBE) for a relaxed HfTaAl2 crystal.

Magnetic moment: 0.00 μB/f.u.
ΔH_f (0 K): -27 kJ/mol of atoms
Raw total energy: -7.6040 eV per atom
Polymorph energy (0 for the lowest one): 0.0 meV per atom

Cell lengths 7.3357, 3.6910, 10.7338 Å; angles 90.00, 90.00, 90.00 degrees
Last column: nearest neighbours and their distance in Å.
Space group Pnma (No. 62)
Inequivalent atoms, fractional coordinates:
Hf 0.2330 0.2500 0.1993 [4 per cell]  6 Al 2.79-2.94
Ta 0.0492 0.7500 0.4064 [4 per cell]  5 Al 2.75-2.90, 2 Ta 2.82
Al 0.0673 0.2500 0.8392 [4 per cell]  3 Al 2.62-2.70, 2 Ta 2.77-2.90, 4 Hf 2.79-2.90
Al 0.1996 0.7500 0.9873 [4 per cell]  3 Al 2.62-2.70, 3 Ta 2.75-2.81



Repeat the first record exactly.
Density functional theory data (PBE) for a relaxed HfTaAl crystal.

Magnetic moment: 0.00 μB/f.u.
ΔH_f (0 K): -20 kJ/mol of atoms
Raw total energy: -8.7280 eV per atom
Polymorph energy (0 for the lowest one): 0.0 meV per atom

Cell lengths 3.9090, 3.9090, 7.5483 Å; angles 90.00, 90.00, 90.00 degrees
Last column: nearest neighbours and their distance in Å.
Space group P4/nmm (No. 129, origin choice 2)
Inequivalent atoms, fractional coordinates:
Hf 0.2500 0.2500 0.1458 [2 per cell]  5 Al 2.84-2.86
Ta 0.2500 0.7500 0.5000 [2 per cell]  4 Ta 2.76, 4 Al 2.81
Al 0.2500 0.2500 0.7669 [2 per cell]  4 Ta 2.81, 5 Hf 2.84-2.86